--- i ---
Below is a relaxed structure of InGeTe3Au, with properties calculated at the GGA-PBE level.

Computed properties:
V = 28.4 Å³ per atom

Unit cell a=12.5458 b=4.1707 c=13.0175 alpha=90.00 beta=90.00 gamma=90.00
Fractional coordinates of all 24 atoms:
Te 0.4972 0.5000 0.6110
Te 0.7310 0.0000 0.8008
Te 0.0028 0.0000 0.1110
Te 0.9186 0.5000 0.5779
Te 0.0814 0.0000 0.4221
Te 0.7690 0.5000 0.3008
Te 0.4186 0.5000 0.9221
Te 0.5028 0.0000 0.3890
Te 0.5814 0.0000 0.0779
Te 0.9972 0.5000 0.8890
Te 0.2690 0.5000 0.1992
Te 0.2310 0.0000 0.6992
In 0.2551 0.0000 0.0223
In 0.7449 0.5000 0.9777
In 0.2449 0.5000 0.5223
In 0.7551 0.0000 0.4777
Ge 0.4454 0.0000 0.7497
Ge 0.9454 0.0000 0.7503
Ge 0.0546 0.5000 0.2497
Ge 0.5546 0.5000 0.2503
Au 0.7906 0.0000 0.1337
Au 0.2094 0.5000 0.8663
Au 0.7094 0.5000 0.6337
Au 0.2906 0.0000 0.3663

--- ii ---
Below is a relaxed structure of InGeTe3Au, with properties calculated at the GGA-PBE level.

Computed properties:
V = 28.5 Å³ per atom

Unit cell a=6.7712 b=6.7712 c=12.8357 alpha=90.00 beta=90.00 gamma=144.45
Fractional coordinates of all 12 atoms:
Te 0.3475 0.6525 0.4376
Te 0.8970 0.1030 0.7500
Te 0.6525 0.3475 0.9376
Te 0.6525 0.3475 0.5624
Te 0.1030 0.8970 0.2500
Te 0.3475 0.6525 0.0624
In 0.0000 0.0000 0.0000
In 0.0000 0.0000 0.5000
Au 0.5598 0.4402 0.7500
Au 0.4402 0.5598 0.2500
Ge 0.7648 0.2352 0.2500
Ge 0.2352 0.7648 0.7500

i is the most stable structure; the next one sits 0.072 eV/atom above it.

--- i ---
Below is a relaxed structure of InGeTe4Au3, with properties calculated at the GGA-PBE level.

Computed properties:
V = 31.5 Å³ per atom

Unit cell a=6.5709 b=6.5709 c=6.5709 alpha=90.00 beta=90.00 gamma=90.00
Fractional coordinates of all 9 atoms:
Te 0.2507 0.2507 0.2507
Te 0.2507 0.7493 0.7493
Te 0.7493 0.7493 0.2507
Te 0.7493 0.2507 0.7493
Ge 0.5000 0.5000 0.5000
Au 0.5000 0.0000 0.5000
Au 0.0000 0.5000 0.5000
Au 0.5000 0.5000 0.0000
In 0.0000 0.0000 0.0000

--- ii ---
Below is a relaxed structure of InGeTe4Au3, with properties calculated at the GGA-PBE level.

Computed properties:
V = 30.8 Å³ per atom

Unit cell a=6.8902 b=7.9036 c=10.6463 alpha=90.00 beta=106.83 gamma=90.00
Fractional coordinates of all 18 atoms:
Te 0.1687 0.0243 0.7331
Te 0.4757 0.7500 0.4647
Te 0.8313 0.9757 0.2669
Te 0.5243 0.2500 0.5353
Te 0.8313 0.5243 0.2669
Te 0.1687 0.4757 0.7331
Te 0.3250 0.2500 0.0716
Te 0.6750 0.7500 0.9284
Au 0.1828 0.0600 0.4410
Au 0.8172 0.9400 0.5590
Au 0.9945 0.7500 0.8323
Au 0.0055 0.2500 0.1677
Au 0.8172 0.5600 0.5590
Au 0.1828 0.4400 0.4410
In 0.6838 0.2500 0.9282
In 0.3162 0.7500 0.0718
Ge 0.3838 0.7500 0.7029
Ge 0.6162 0.2500 0.2971

ii is the most stable structure; the next one sits 0.010 eV/atom above it.

--- i ---
Below is a relaxed structure of KGeAuS3, with properties calculated at the GGA-PBE level.

Computed properties:
V = 23.8 Å³ per atom

Unit cell a=8.2267 b=8.2267 c=9.8956 alpha=90.00 beta=90.00 gamma=154.73
Fractional coordinates of all 12 atoms:
Ge 0.0000 0.0000 0.5000
Ge 0.0000 0.0000 0.0000
S 0.0420 0.9580 0.7500
S 0.6081 0.3919 0.0185
S 0.3919 0.6081 0.5185
S 0.6081 0.3919 0.4815
S 0.9580 0.0420 0.2500
S 0.3919 0.6081 0.9815
K 0.2904 0.7096 0.2500
K 0.7096 0.2904 0.7500
Au 0.6166 0.3834 0.2500
Au 0.3834 0.6166 0.7500

--- ii ---
Below is a relaxed structure of KGeAuS3, with properties calculated at the GGA-PBE level.

Computed properties:
V = 26.6 Å³ per atom

Unit cell a=10.7645 b=11.3556 c=12.0134 alpha=90.00 beta=119.52 gamma=90.00
Fractional coordinates of all 48 atoms:
S 0.6835 0.0003 0.4963
S 0.7088 0.8389 0.8632
S 0.0007 0.8526 0.5104
S 0.7341 0.5058 0.7052
S 0.2862 0.6681 0.5739
S 0.0200 0.9721 0.1457
S 0.2659 0.0058 0.7948
S 0.0200 0.5279 0.6457
S 0.9993 0.1474 0.4896
S 0.3165 0.5003 0.0037
S 0.9993 0.3526 0.9896
S 0.7138 0.1681 0.9261
S 0.2912 0.3389 0.6368
S 0.9800 0.4721 0.3543
S 0.2862 0.8319 0.0739
S 0.9800 0.0279 0.8543
S 0.7138 0.3319 0.4261
S 0.7088 0.6611 0.3632
S 0.0007 0.6474 0.0104
S 0.3165 0.9997 0.5037
S 0.6835 0.4997 0.9963
S 0.7341 0.9942 0.2052
S 0.2659 0.4942 0.2948
S 0.2912 0.1611 0.1368
K 0.8824 0.7339 0.2093
K 0.4104 0.7330 0.8758
K 0.5896 0.2670 0.1241
K 0.1176 0.2661 0.7907
K 0.5896 0.2330 0.6241
K 0.4104 0.7670 0.3758
K 0.8824 0.7661 0.7093
K 0.1176 0.2339 0.2907
Au 0.4877 0.0893 0.8579
Au 0.5123 0.9107 0.1421
Au 0.4877 0.4107 0.3579
Au 0.4845 0.4181 0.8194
Au 0.5155 0.9181 0.6806
Au 0.5155 0.5819 0.1806
Au 0.5123 0.5893 0.6421
Au 0.4845 0.0819 0.3194
Ge 0.1646 0.5039 0.5567
Ge 0.1646 0.9961 0.0567
Ge 0.8342 0.9986 0.4176
Ge 0.8354 0.0039 0.9433
Ge 0.1658 0.4986 0.0824
Ge 0.8342 0.5014 0.9176
Ge 0.8354 0.4961 0.4433
Ge 0.1658 0.0014 0.5824

ii is the most stable structure; the next one sits 0.288 eV/atom above it.

--- i ---
Below is a relaxed structure of NaGe2Au2, with properties calculated at the GGA-PBE level.

Computed properties:
V = 21.3 Å³ per atom

Unit cell a=6.0535 b=6.0535 c=6.0535 alpha=135.77 beta=135.77 gamma=64.33
Fractional coordinates of all 5 atoms:
Na 0.0000 0.0000 0.0000
Au 0.7500 0.2500 0.5000
Au 0.2500 0.7500 0.5000
Ge 0.3773 0.3773 0.0000
Ge 0.6227 0.6227 0.0000

--- ii ---
Below is a relaxed structure of NaGe2Au2, with properties calculated at the GGA-PBE level.

Computed properties:
V = 22.3 Å³ per atom

Unit cell a=6.3881 b=6.3881 c=6.3881 alpha=138.93 beta=138.93 gamma=59.48
Fractional coordinates of all 5 atoms:
Au 0.6243 0.6243 0.0000
Au 0.3757 0.3757 0.0000
Na 0.0000 0.0000 0.0000
Ge 0.7500 0.2500 0.5000
Ge 0.2500 0.7500 0.5000

i is the most stable structure; the next one sits 0.068 eV/atom above it.

--- i ---
Below is a relaxed structure of NdGe2PdAu, with properties calculated at the GGA-PBE level.

Computed properties:
V = 20.0 Å³ per atom

Unit cell a=6.1076 b=6.1076 c=6.1076 alpha=138.26 beta=138.26 gamma=60.50
Fractional coordinates of all 5 atoms:
Pd 0.5000 0.5000 0.0000
Nd 0.2500 0.7500 0.5000
Ge 0.8669 0.3669 0.5000
Ge 0.6331 0.1331 0.5000
Au 0.0000 0.0000 0.0000

--- ii ---
Below is a relaxed structure of NdGe2PdAu, with properties calculated at the GGA-PBE level.

Computed properties:
V = 20.1 Å³ per atom

Unit cell a=4.4003 b=4.4003 c=10.3592 alpha=90.00 beta=90.00 gamma=90.00
Fractional coordinates of all 10 atoms:
Au 0.0000 0.0000 0.0000
Au 0.5000 0.5000 0.0000
Ge 0.0000 0.5000 0.8549
Ge 0.0000 0.0000 0.5000
Ge 0.5000 0.0000 0.1451
Ge 0.5000 0.5000 0.5000
Nd 0.0000 0.5000 0.2534
Nd 0.5000 0.0000 0.7466
Pd 0.5000 0.0000 0.3808
Pd 0.0000 0.5000 0.6192

ii is the most stable structure; the next one sits 0.013 eV/atom above it.

--- i ---
Below is a relaxed structure of Ge2Au2O5, with properties calculated at the GGA-PBE level.

Computed properties:
V = 12.9 Å³ per atom

Unit cell a=6.8526 b=4.1161 c=4.1161 alpha=90.00 beta=90.00 gamma=90.00
Fractional coordinates of all 9 atoms:
O 0.7750 0.5000 0.0000
O 0.7750 0.0000 0.5000
O 0.5000 0.5000 0.5000
O 0.2250 0.0000 0.5000
O 0.2250 0.5000 0.0000
Ge 0.0000 0.0000 0.0000
Ge 0.5000 0.0000 0.0000
Au 0.8047 0.5000 0.5000
Au 0.1953 0.5000 0.5000

--- ii ---
Below is a relaxed structure of Ge2Au2O5, with properties calculated at the GGA-PBE level.

Computed properties:
V = 12.3 Å³ per atom

Unit cell a=8.4041 b=3.6251 c=3.6251 alpha=90.00 beta=90.00 gamma=90.00
Fractional coordinates of all 9 atoms:
Au 0.0000 0.0000 0.0000
Au 0.5000 0.0000 0.0000
Ge 0.7235 0.5000 0.5000
Ge 0.2765 0.5000 0.5000
O 0.5000 0.5000 0.5000
O 0.7790 0.0000 0.5000
O 0.2210 0.0000 0.5000
O 0.7790 0.5000 0.0000
O 0.2210 0.5000 0.0000

ii is the most stable structure; the next one sits 0.546 eV/atom above it.

--- i ---
Below is a relaxed structure of Si17Ge13PAu, with properties calculated at the GGA-PBE level.

Computed properties:
V = 21.6 Å³ per atom

Unit cell a=5.5719 b=3.9235 c=31.6123 alpha=90.00 beta=90.78 gamma=90.00
Fractional coordinates of all 32 atoms:
Ge 0.7564 0.0000 0.1886
Ge 0.4922 0.5000 0.9372
Ge 0.2435 0.5000 0.0019
Ge 0.0030 0.0000 0.5007
Ge 0.0032 0.0000 0.8735
Ge 0.7486 0.0000 0.4360
Ge 0.0046 0.0000 0.1239
Ge 0.2629 0.5000 0.6245
Ge 0.7554 0.0000 0.9380
Ge 0.2273 0.5000 0.7512
Ge 0.2676 0.5000 0.4999
Ge 0.4914 0.5000 0.1888
Ge 0.0062 0.0000 0.3728
Si 0.4984 0.5000 0.4356
Si 0.7637 0.0000 0.5634
Si 0.5041 0.5000 0.0637
Si 0.2452 0.5000 0.2519
Si 0.7443 0.0000 0.0622
Si 0.2563 0.5000 0.1242
Si 0.2540 0.5000 0.8730
Si 0.4995 0.5000 0.8129
Si 0.9924 0.0000 0.0021
Si 0.7398 0.0000 0.8118
Si 0.7462 0.0000 0.3110
Si 0.4897 0.5000 0.6917
Si 0.0031 0.0000 0.2518
Si 0.9768 0.0000 0.7511
Si 0.5034 0.5000 0.3122
Si 0.2589 0.5000 0.3734
Si 0.5223 0.5000 0.5632
P 0.0009 0.0000 0.6229
Au 0.7385 0.0000 0.6849

--- ii ---
Below is a relaxed structure of Si17Ge13PAu, with properties calculated at the GGA-PBE level.

Computed properties:
V = 21.7 Å³ per atom

Unit cell a=6.8727 b=10.3895 c=10.4026 alpha=81.49 beta=83.76 gamma=71.10
Fractional coordinates of all 32 atoms:
Ge 0.8718 0.3622 0.6677
Ge 0.0012 0.8730 0.3727
Ge 0.8770 0.9840 0.8015
Ge 0.5016 0.1925 0.4324
Ge 0.8687 0.4896 0.2937
Ge 0.3796 0.6663 0.7380
Ge 0.3805 0.3001 0.8618
Ge 0.3708 0.0476 0.6082
Ge 0.4955 0.0575 0.8195
Ge 0.0028 0.7436 0.7503
Ge 0.0000 0.3767 0.8797
Ge 0.5015 0.8087 0.5558
Ge 0.0056 0.2471 0.2495
Si 0.4928 0.5650 0.3107
Si 0.8743 0.7297 0.5457
Si 0.8706 0.8593 0.1664
Si 0.3627 0.9208 0.9933
Si 0.9999 0.0037 0.0051
Si 0.8657 0.2352 0.0502
Si 0.3714 0.4270 0.4819
Si 0.0047 0.5022 0.4961
Si 0.0074 0.6261 0.1201
Si 0.9976 0.1242 0.6232
Si 0.3762 0.7965 0.3513
Si 0.4999 0.3160 0.0672
Si 0.5023 0.9370 0.1846
Si 0.3697 0.5473 0.1127
Si 0.8756 0.1086 0.4234
Si 0.3802 0.1691 0.2302
Si 0.4986 0.4373 0.6817
P 0.8832 0.6087 0.9280
Au 0.5110 0.6874 0.9473

i is the most stable structure; the next one sits 0.010 eV/atom above it.

--- i ---
Below is a relaxed structure of Sr3Ge4Pd2Au2, with properties calculated at the GGA-PBE level.

Computed properties:
V = 23.5 Å³ per atom

Unit cell a=13.0736 b=13.0736 c=13.0736 alpha=160.26 beta=159.99 gamma=28.25
Fractional coordinates of all 11 atoms:
Ge 0.6934 0.1934 0.5000
Ge 0.3066 0.8066 0.5000
Ge 0.4508 0.4508 0.0000
Ge 0.5492 0.5492 0.0000
Sr 0.8530 0.3530 0.5000
Sr 0.0000 0.0000 0.0000
Sr 0.1470 0.6470 0.5000
Au 0.7510 0.7510 0.0000
Au 0.2490 0.2490 0.0000
Pd 0.5954 0.0954 0.5000
Pd 0.4046 0.9046 0.5000

--- ii ---
Below is a relaxed structure of Sr3Ge4Pd2Au2, with properties calculated at the GGA-PBE level.

Computed properties:
V = 23.3 Å³ per atom

Unit cell a=13.0315 b=13.0315 c=13.0315 alpha=160.12 beta=160.10 gamma=28.27
Fractional coordinates of all 11 atoms:
Au 0.0990 0.0990 0.0000
Au 0.9010 0.9010 0.0000
Sr 0.6493 0.6493 0.0000
Sr 0.5000 0.0000 0.5000
Sr 0.3507 0.3507 0.0000
Ge 0.9510 0.4510 0.5000
Ge 0.0490 0.5490 0.5000
Ge 0.2023 0.2023 0.0000
Ge 0.7977 0.7977 0.0000
Pd 0.2502 0.7502 0.5000
Pd 0.7498 0.2498 0.5000

ii is the most stable structure; the next one sits 0.071 eV/atom above it.

--- i ---
Below is a relaxed structure of PmGeAu, with properties calculated at the GGA-PBE level.

Computed properties:
V = 22.6 Å³ per atom

Unit cell a=4.4744 b=4.4744 c=3.9146 alpha=90.00 beta=90.00 gamma=120.00
Fractional coordinates of all 3 atoms:
Au 0.0000 0.0000 0.1471
Ge 0.6667 0.3333 0.1902
Pm 0.3333 0.6667 0.6627

--- ii ---
Below is a relaxed structure of PmGeAu, with properties calculated at the GGA-PBE level.

Computed properties:
V = 24.7 Å³ per atom

Unit cell a=4.7155 b=4.7155 c=4.7155 alpha=60.00 beta=60.00 gamma=60.00
Fractional coordinates of all 3 atoms:
Au 0.0000 0.0000 0.0000
Ge 0.2500 0.2500 0.2500
Pm 0.7500 0.7500 0.7500

i is the most stable structure; the next one sits 0.081 eV/atom above it.